# Pa2InGa

An optimized crystal structure of Pa2InGa (PBE-GGA, the Alexandria database).

Summary:
Calculated density ... 11.61 g/cm3
Energy relative to the elements ... -0.097 eV per atom
E ... -25.1 eV for the cell shown
Symmetry ... P4/mmm (123)
Energy above the lowest structure with this stoichiometry ... 40 meV/atom

a = 4.463 Å, b = 4.463 Å, c = 4.642 Å
α = 90.00°, β = 90.00°, γ = 90.00°
Element x y z (fractional)
Pa  0.000  0.500  0.000
Pa  0.500  0.000  0.000
In  0.000  0.000  0.500
Ga  0.500  0.500  0.500

=====

# Pa2InGa

An optimized crystal structure of Pa2InGa (PBE-GGA, the Alexandria database).

Summary:
Calculated density ... 10.90 g/cm3
Energy relative to the elements ... 0.110 eV per atom
E ... -24.3 eV for the cell shown
Symmetry ... Fm-3m (225)
Energy above the lowest structure with this stoichiometry ... 247 meV/atom

a = 5.185 Å, b = 5.185 Å, c = 5.185 Å
α = 60.00°, β = 60.00°, γ = 60.00°
Element x y z (fractional)
Pa  0.250  0.250  0.250
Pa  0.750  0.750  0.750
In  0.000  0.000  0.000
Ga  0.500  0.500  0.500

=====

# PaInGaPt

An optimized crystal structure of PaInGaPt (PBE-GGA, the Alexandria database).

Summary:
Calculated density ... 12.28 g/cm3
Energy relative to the elements ... -0.490 eV per atom
E ... -23.3 eV for the cell shown
Symmetry ... F-43m (216)

a = 4.887 Å, b = 4.887 Å, c = 4.887 Å
α = 60.00°, β = 60.00°, γ = 60.00°
Element x y z (fractional)
Pa  0.000  0.000  0.000
In  0.500  0.500  0.500
Ga  0.250  0.250  0.250
Pt  0.750  0.750  0.750

=====

# PuPaInGa

An optimized crystal structure of PuPaInGa (PBE-GGA, the Alexandria database).

Summary:
Calculated density ... 11.70 g/cm3
Energy relative to the elements ... -0.193 eV per atom
E ... -30.4 eV for the cell shown
Symmetry ... P4mm (99)
Energy above the lowest structure with this stoichiometry ... 0 meV/atom

a = 3.173 Å, b = 3.173 Å, c = 9.297 Å
α = 90.00°, β = 90.00°, γ = 90.00°
Element x y z (fractional)
Pu  0.000  0.000  0.000
Pa  0.000  0.000  0.540
In  0.500  0.500  0.271
Ga  0.500  0.500  0.769

=====

# PuPaInGa

An optimized crystal structure of PuPaInGa (PBE-GGA, the Alexandria database).

Summary:
Calculated density ... 11.12 g/cm3
Energy relative to the elements ... -0.007 eV per atom
E ... -29.6 eV for the cell shown
Symmetry ... F-43m (216)
Energy above the lowest structure with this stoichiometry ... 187 meV/atom

a = 5.184 Å, b = 5.184 Å, c = 5.184 Å
α = 60.00°, β = 60.00°, γ = 60.00°
Element x y z (fractional)
Pu  0.000  0.000  0.000
Pa  0.500  0.500  0.500
In  0.250  0.250  0.250
Ga  0.750  0.750  0.750

=====

# PaIn2GaS5

An optimized crystal structure of PaIn2GaS5 (PBE-GGA, the Alexandria database).

Summary:
Calculated density ... 4.62 g/cm3
E ... -92.5 eV for the cell shown
Symmetry ... Cmc2_1 (36)

a = 9.288 Å, b = 9.288 Å, c = 13.715 Å
α = 90.00°, β = 90.00°, γ = 155.18°
Element x y z (fractional)
Pa  0.209  0.791  0.500
Pa  0.791  0.209  0.000
In  0.110  0.890  0.134
In  0.115  0.885  0.799
In  0.885  0.115  0.299
In  0.890  0.110  0.634
Ga  0.434  0.566  0.894
Ga  0.566  0.434  0.394
S  0.056  0.944  0.494
S  0.286  0.714  0.124
S  0.306  0.694  0.865
S  0.347  0.653  0.478
S  0.499  0.501  0.760
S  0.501  0.499  0.260
S  0.653  0.347  0.978
S  0.694  0.306  0.365
S  0.714  0.286  0.624
S  0.944  0.056  0.994

=====

# PaIn2GaSe5

An optimized crystal structure of PaIn2GaSe5 (PBE-GGA, the Alexandria database).

Summary:
Calculated density ... 5.71 g/cm3
E ... -84.4 eV for the cell shown
Symmetry ... Cmc2_1 (36)

a = 9.507 Å, b = 9.507 Å, c = 14.063 Å
α = 90.00°, β = 90.00°, γ = 154.94°
Element x y z (fractional)
Pa  0.204  0.796  0.500
Pa  0.796  0.204  0.000
In  0.115  0.885  0.806
In  0.117  0.883  0.141
In  0.883  0.117  0.641
In  0.885  0.115  0.306
Ga  0.436  0.564  0.889
Ga  0.564  0.436  0.389
Se  0.048  0.952  0.493
Se  0.295  0.705  0.132
Se  0.302  0.698  0.858
Se  0.347  0.653  0.483
Se  0.499  0.501  0.246
Se  0.501  0.499  0.746
Se  0.653  0.347  0.983
Se  0.698  0.302  0.358
Se  0.705  0.295  0.632
Se  0.952  0.048  0.993

=====

# TbPaInGa

An optimized crystal structure of TbPaInGa (PBE-GGA, the Alexandria database).

Summary:
Calculated density ... 9.52 g/cm3
Energy relative to the elements ... -0.151 eV per atom
E ... -20.5 eV for the cell shown
Symmetry ... F-43m (216)

a = 5.214 Å, b = 5.214 Å, c = 5.214 Å
α = 60.00°, β = 60.00°, γ = 60.00°
Element x y z (fractional)
Tb  0.000  0.000  0.000
Pa  0.500  0.500  0.500
In  0.250  0.250  0.250
Ga  0.750  0.750  0.750

=====

# YPaInGa

An optimized crystal structure of YPaInGa (PBE-GGA, the Alexandria database).

Summary:
Calculated density ... 8.37 g/cm3
Energy relative to the elements ... -0.162 eV per atom
E ... -22.4 eV for the cell shown
Symmetry ... F-43m (216)

a = 5.211 Å, b = 5.211 Å, c = 5.211 Å
α = 60.00°, β = 60.00°, γ = 60.00°
Element x y z (fractional)
Y  0.000  0.000  0.000
Pa  0.500  0.500  0.500
In  0.250  0.250  0.250
Ga  0.750  0.750  0.750

=====

# In6GaPb5

An optimized crystal structure of In6GaPb5 (PBE-GGA, the Alexandria database).

Summary:
Calculated density ... 8.66 g/cm3
Energy relative to the elements ... 0.041 eV per atom
E ... -37.5 eV for the cell shown
Symmetry ... C2/m (12)

a = 8.000 Å, b = 8.000 Å, c = 5.716 Å
α = 104.11°, β = 104.11°, γ = 85.74°
Element x y z (fractional)
In  0.083  0.404  0.248
In  0.252  0.252  0.761
In  0.404  0.083  0.248
In  0.596  0.917  0.752
In  0.748  0.748  0.239
In  0.917  0.596  0.752
Ga  0.000  0.000  0.000
Pb  0.161  0.839  0.500
Pb  0.328  0.672  0.000
Pb  0.500  0.500  0.500
Pb  0.672  0.328  0.000
Pb  0.839  0.161  0.500

=====

# InGaPb

An optimized crystal structure of InGaPb (PBE-GGA, the Alexandria database).

Summary:
Calculated density ... 8.25 g/cm3
Energy relative to the elements ... 0.055 eV per atom
E ... -18.6 eV for the cell shown
Symmetry ... Cm (8)
Energy above the lowest structure with this stoichiometry ... 27 meV/atom

a = 5.650 Å, b = 5.650 Å, c = 6.478 Å
α = 101.66°, β = 101.66°, γ = 51.49°
Element x y z (fractional)
In  0.000  0.000  0.000
In  0.669  0.669  0.830
Ga  0.338  0.338  0.154
Ga  0.999  0.999  0.486
Pb  0.337  0.337  0.648
Pb  0.667  0.667  0.325

=====

# InGaPb

An optimized crystal structure of InGaPb (PBE-GGA, the Alexandria database).

Summary:
Calculated density ... 8.00 g/cm3
Energy relative to the elements ... 0.080 eV per atom
E ... -18.5 eV for the cell shown
Symmetry ... P1 (1)
Energy above the lowest structure with this stoichiometry ... 52 meV/atom

a = 4.121 Å, b = 4.528 Å, c = 9.263 Å
α = 99.21°, β = 97.43°, γ = 104.44°
Element x y z (fractional)
In  0.000  0.000  0.000
In  0.127  0.337  0.401
Ga  0.420  0.881  0.261
Ga  0.704  0.462  0.150
Pb  0.517  0.347  0.800
Pb  0.807  0.846  0.589

=====

# In2GaPb

An optimized crystal structure of In2GaPb (PBE-GGA, the Alexandria database).

Summary:
Calculated density ... 7.83 g/cm3
Energy relative to the elements ... 0.045 eV per atom
E ... -12.0 eV for the cell shown
Symmetry ... R-3m (166)
Energy above the lowest structure with this stoichiometry ... 10 meV/atom

a = 10.023 Å, b = 10.023 Å, c = 10.023 Å
α = 20.43°, β = 20.43°, γ = 20.43°
Element x y z (fractional)
In  0.240  0.240  0.240
In  0.760  0.760  0.760
Ga  0.500  0.500  0.500
Pb  0.000  0.000  0.000

=====

# InGaPb

An optimized crystal structure of InGaPb (PBE-GGA, the Alexandria database).

Summary:
Calculated density ... 8.32 g/cm3
Energy relative to the elements ... 0.037 eV per atom
E ... -18.7 eV for the cell shown
Symmetry ... P-1 (2)
Energy above the lowest structure with this stoichiometry ... 9 meV/atom

a = 3.601 Å, b = 3.793 Å, c = 11.478 Å
α = 87.76°, β = 86.85°, γ = 88.46°
Element x y z (fractional)
In  0.215  0.229  0.290
In  0.785  0.771  0.710
Ga  0.267  0.258  0.558
Ga  0.733  0.742  0.442
Pb  0.275  0.265  0.896
Pb  0.725  0.735  0.104

=====

# In3GaPb

An optimized crystal structure of In3GaPb (PBE-GGA, the Alexandria database).

Summary:
Calculated density ... 7.72 g/cm3
Energy relative to the elements ... 0.040 eV per atom
E ... -29.5 eV for the cell shown
Symmetry ... C2/m (12)
Energy above the lowest structure with this stoichiometry ... 6 meV/atom

a = 8.098 Å, b = 8.098 Å, c = 6.816 Å
α = 93.75°, β = 93.75°, γ = 36.84°
Element x y z (fractional)
In  0.007  0.007  0.249
In  0.199  0.199  0.717
In  0.396  0.396  0.515
In  0.604  0.604  0.485
In  0.801  0.801  0.283
In  0.993  0.993  0.751
Ga  0.201  0.201  0.254
Ga  0.799  0.799  0.746
Pb  0.386  0.386  0.009
Pb  0.614  0.614  0.991

=====

# InGaPb

An optimized crystal structure of InGaPb (PBE-GGA, the Alexandria database).

Summary:
Calculated density ... 8.20 g/cm3
Energy relative to the elements ... 0.063 eV per atom
E ... -9.3 eV for the cell shown
Symmetry ... P3m1 (156)
Energy above the lowest structure with this stoichiometry ... 35 meV/atom

a = 5.143 Å, b = 5.143 Å, c = 3.462 Å
α = 90.00°, β = 90.00°, γ = 120.00°
Element x y z (fractional)
In  0.000  0.000  0.000
Ga  0.667  0.333  0.865
Pb  0.333  0.667  0.459

=====

# InGa3Pb3

An optimized crystal structure of InGa3Pb3 (PBE-GGA, the Alexandria database).

Summary:
Calculated density ... 6.41 g/cm3
Energy relative to the elements ... 0.350 eV per atom
E ... -41.0 eV for the cell shown
Symmetry ... Pm-3n (223)

a = 7.884 Å, b = 7.884 Å, c = 7.884 Å
α = 90.00°, β = 90.00°, γ = 90.00°
Element x y z (fractional)
In  0.000  0.000  0.000
In  0.500  0.500  0.500
Ga  0.000  0.250  0.500
Ga  0.000  0.750  0.500
Ga  0.250  0.500  0.000
Ga  0.500  0.000  0.250
Ga  0.500  0.000  0.750
Ga  0.750  0.500  0.000
Pb  0.000  0.500  0.250
Pb  0.000  0.500  0.750
Pb  0.250  0.000  0.500
Pb  0.500  0.250  0.000
Pb  0.500  0.750  0.000
Pb  0.750  0.000  0.500

=====

# In3GaPb

An optimized crystal structure of In3GaPb (PBE-GGA, the Alexandria database).

Summary:
Calculated density ... 6.70 g/cm3
Energy relative to the elements ... 0.259 eV per atom
E ... -13.7 eV for the cell shown
Symmetry ... Pm-3m (221)
Energy above the lowest structure with this stoichiometry ... 225 meV/atom

a = 5.361 Å, b = 5.361 Å, c = 5.361 Å
α = 90.00°, β = 90.00°, γ = 90.00°
Element x y z (fractional)
In  0.000  0.000  0.500
In  0.000  0.500  0.000
In  0.500  0.000  0.000
Ga  0.000  0.000  0.000
Pb  0.500  0.500  0.500

=====

# In4Ga4Pb

An optimized crystal structure of In4Ga4Pb (PBE-GGA, the Alexandria database).

Summary:
Calculated density ... 7.07 g/cm3
Energy relative to the elements ... 0.066 eV per atom
E ... -52.4 eV for the cell shown
Symmetry ... P4_2/nmc (137)
Energy above the lowest structure with this stoichiometry ... 20 meV/atom

a = 6.478 Å, b = 6.478 Å, c = 10.587 Å
α = 90.00°, β = 90.00°, γ = 90.00°
Element x y z (fractional)
In  0.004  0.250  0.022
In  0.250  0.004  0.522
In  0.250  0.496  0.522
In  0.496  0.250  0.022
In  0.504  0.750  0.978
In  0.750  0.504  0.478
In  0.750  0.996  0.478
In  0.996  0.750  0.978
Ga  0.043  0.250  0.296
Ga  0.250  0.043  0.796
Ga  0.250  0.457  0.796
Ga  0.457  0.250  0.296
Ga  0.543  0.750  0.704
Ga  0.750  0.543  0.204
Ga  0.750  0.957  0.204
Ga  0.957  0.750  0.704
Pb  0.250  0.750  0.250
Pb  0.750  0.250  0.750

=====

# In16Ga12Pb

An optimized crystal structure of In16Ga12Pb (PBE-GGA, the Alexandria database).

Summary:
Calculated density ... 6.78 g/cm3
Energy relative to the elements ... 0.036 eV per atom
E ... -82.8 eV for the cell shown
Symmetry ... P1 (1)

a = 9.132 Å, b = 9.218 Å, c = 10.069 Å
α = 112.58°, β = 103.63°, γ = 104.20°
Element x y z (fractional)
In  0.000  0.000  0.000
In  0.001  0.306  0.593
In  0.319  0.669  0.671
In  0.328  0.648  0.339
In  0.330  0.977  0.592
In  0.358  0.968  0.990
In  0.371  0.339  0.641
In  0.574  0.973  0.325
In  0.597  0.336  0.013
In  0.641  0.348  0.381
In  0.681  0.693  0.377
In  0.684  0.663  0.694
In  0.695  0.281  0.691
In  0.953  0.951  0.328
In  0.970  0.590  0.335
In  0.990  0.358  0.996
Ga  0.016  0.624  0.828
Ga  0.038  0.811  0.671
Ga  0.136  0.331  0.342
Ga  0.140  0.769  0.149
Ga  0.190  0.172  0.814
Ga  0.299  0.114  0.309
Ga  0.335  0.319  0.147
Ga  0.641  0.013  0.829
Ga  0.657  0.856  0.021
Ga  0.797  0.623  0.996
Ga  0.809  0.194  0.186
Ga  0.851  0.014  0.670
Pb  0.357  0.579  0.984